## LaCrO3 (PBE with a Hubbard U)

Data for LaCrO3 after structural relaxation.

Results
**Crystal system**: triclinic
**Density**: 5.8 g/cm³
**E**: -8.073 eV/atom

Cell lengths 5.171, 5.422, 5.719 Å; angles 116.55, 104.48, 90.25 degrees
Sites, in units of the cell vectors:
La1 0.210 0.183 0.353
La2 0.790 0.817 0.647
Cr1 0.000 0.500 0.000
Cr2 0.500 0.500 0.000
O1 0.184 0.574 0.764
O2 0.205 0.178 0.920
O3 0.343 0.714 0.311
O4 0.657 0.286 0.689
O5 0.795 0.822 0.080
O6 0.816 0.426 0.236